Entry 1:
# Sm4MgSc2 PBE relaxed
data_Sm4MgSc2
_cell_length_a 5.5092
_cell_length_b 6.7492
_cell_length_c 11.6152
_cell_angle_alpha 90.00
_cell_angle_beta 103.69
_cell_angle_gamma 90.00
_symmetry_space_group_name_H-M 'P 1 21/m 1'
_symmetry_Int_Tables_number 11
loop_
_symmetry_equiv_pos_as_xyz
'x,y,z'
'-x,-y,-z'
'-x,y+1/2,-z'
'x,-y+1/2,z'
loop_
_atom_site_label
_atom_site_fract_x
_atom_site_fract_y
_atom_site_fract_z
_atom_site_occupancy
Sm1 0.0655 0.2500 0.1305 1
Sm2 0.2154 0.7500 0.4303 1
Sm3 0.3561 0.5104 0.7117 1
Mg1 0.0757 0.7500 0.1537 1
Sc1 0.2109 0.2500 0.4227 1
Sc2 0.4939 0.2500 0.9866 1
# D(E_F), states/eV/atom: 1.648
# E_tot, eV/atom: -4.62
# M_tot, Bohr magnetons per cell: 0.00

Entry 2:
# Sm3MgSc2 PBE relaxed
data_Sm3MgSc2
_cell_length_a 3.6075
_cell_length_b 3.6075
_cell_length_c 13.3376
_cell_angle_alpha 90.00
_cell_angle_beta 90.00
_cell_angle_gamma 90.00
_symmetry_space_group_name_H-M 'P 4/m m m'
_symmetry_Int_Tables_number 123
_symmetry_space_group_name_Hall '-P 4 2'
loop_
_atom_site_label
_atom_site_fract_x
_atom_site_fract_y
_atom_site_fract_z
_atom_site_occupancy
Sm1 0.0000 0.0000 0.0000 1
Sm2 0.0000 0.0000 0.3351 1
Mg1 0.5000 0.5000 0.5000 1
Sc1 0.5000 0.5000 0.1675 1
# Polymorph energy (0 for the lowest one), kcal/mol of atoms: 0.00
# D(E_F), states/eV/atom: 1.566
# E_tot, eV/atom: -4.72
# M_tot, Bohr magnetons per cell: 0.00

Entry 3:
# Sm2MgSc PBE relaxed
data_Sm2MgSc
_cell_length_a 5.9560
_cell_length_b 3.4445
_cell_length_c 11.5307
_cell_angle_alpha 90.00
_cell_angle_beta 99.81
_cell_angle_gamma 90.00
_symmetry_space_group_name_H-M 'C 1 m 1'
_symmetry_Int_Tables_number 8
loop_
_symmetry_equiv_pos_as_xyz
'x,y,z'
'x,-y,z'
'x+1/2,y+1/2,z'
'x+1/2,-y+1/2,z'
loop_
_atom_site_label
_atom_site_fract_x
_atom_site_fract_y
_atom_site_fract_z
_atom_site_occupancy
Sm1 0.0000 0.0000 0.0000 1
Sm2 0.1730 0.0000 0.5168 1
Mg1 0.4200 0.0000 0.2577 1
Sc1 0.0869 0.5000 0.7588 1
# Polymorph energy (0 for the lowest one), kcal/mol of atoms: 1.55
# D(E_F), states/eV/atom: 1.330
# E_tot, eV/atom: -4.28
# M_tot, Bohr magnetons per cell: 0.00

Entry 4:
# Sm4MgSc PBE relaxed
data_Sm4MgSc
_cell_length_a 9.6743
_cell_length_b 9.9527
_cell_length_c 4.6171
_cell_angle_alpha 90.00
_cell_angle_beta 90.00
_cell_angle_gamma 90.00
_symmetry_space_group_name_H-M 'C m m m'
_symmetry_Int_Tables_number 65
_symmetry_space_group_name_Hall '-C 2 2'
loop_
_atom_site_label
_atom_site_fract_x
_atom_site_fract_y
_atom_site_fract_z
_atom_site_occupancy
Sm1 0.0000 0.2014 0.0000 1
Sm2 0.2061 0.5000 0.5000 1
Mg1 0.0000 0.5000 0.0000 1
Sc1 0.0000 0.0000 0.5000 1
# Polymorph energy (0 for the lowest one), kcal/mol of atoms: 17.41
# D(E_F), states/eV/atom: 1.316
# E_tot, eV/atom: -3.71
# M_tot, Bohr magnetons per cell: 0.00

Entry 5:
# Sm4Mg3Sc PBE relaxed
data_Sm4Mg3Sc
_cell_length_a 3.7920
_cell_length_b 3.7920
_cell_length_c 15.9571
_cell_angle_alpha 90.00
_cell_angle_beta 90.00
_cell_angle_gamma 90.00
_symmetry_space_group_name_H-M 'P 4/m m m'
_symmetry_Int_Tables_number 123
_symmetry_space_group_name_Hall '-P 4 2'
loop_
_atom_site_label
_atom_site_fract_x
_atom_site_fract_y
_atom_site_fract_z
_atom_site_occupancy
Sm1 0.0000 0.0000 0.1215 1
Sm2 0.0000 0.0000 0.3691 1
Mg1 0.5000 0.5000 0.0000 1
Mg2 0.5000 0.5000 0.2455 1
Sc1 0.5000 0.5000 0.5000 1
# D(E_F), states/eV/atom: 1.343
# E_tot, eV/atom: -3.80
# M_tot, Bohr magnetons per cell: 0.00

Entry 6:
# SmMgSc PBE relaxed
data_SmMgSc
_cell_length_a 3.3905
_cell_length_b 3.3937
_cell_length_c 14.1499
_cell_angle_alpha 90.00
_cell_angle_beta 90.01
_cell_angle_gamma 90.00
_symmetry_space_group_name_H-M 'P 1 21 1'
_symmetry_Int_Tables_number 4
loop_
_symmetry_equiv_pos_as_xyz
'x,y,z'
'-x,y+1/2,-z'
loop_
_atom_site_label
_atom_site_fract_x
_atom_site_fract_y
_atom_site_fract_z
_atom_site_occupancy
Sm1 0.2493 0.0000 0.2457 1
Mg1 0.2505 0.9982 0.9285 1
Sc1 0.2501 0.0010 0.5787 1
# Polymorph energy (0 for the lowest one), kcal/mol of atoms: 0.43
# D(E_F), states/eV/atom: 1.235
# E_tot, eV/atom: -4.22
# M_tot, Bohr magnetons per cell: 0.00

Entry 7:
# Sm5MgSc PBE relaxed
data_Sm5MgSc
_cell_length_a 11.6525
_cell_length_b 6.7104
_cell_length_c 12.1135
_cell_angle_alpha 90.00
_cell_angle_beta 111.09
_cell_angle_gamma 90.00
_symmetry_space_group_name_H-M 'C 1 2/c 1'
_symmetry_Int_Tables_number 15
loop_
_symmetry_equiv_pos_as_xyz
'x,y,z'
'-x,-y,-z'
'-x,y,-z+1/2'
'x,-y,z+1/2'
'x+1/2,y+1/2,z'
'-x+1/2,-y+1/2,-z'
'-x+1/2,y+1/2,-z+1/2'
'x+1/2,-y+1/2,z+1/2'
loop_
_atom_site_label
_atom_site_fract_x
_atom_site_fract_y
_atom_site_fract_z
_atom_site_occupancy
Sm1 0.0000 0.0922 0.2500 1
Sm2 0.0808 0.2331 0.0019 1
Sm3 0.2221 0.1276 0.7396 1
Mg1 0.0000 0.4496 0.7500 1
Sc1 0.2500 0.2500 0.5000 1
# D(E_F), states/eV/atom: 1.255
# E_tot, eV/atom: -4.33
# M_tot, Bohr magnetons per cell: 0.00

Entry 8:
# Sm2Mg2Sc3 PBE relaxed
data_Sm2Mg2Sc3
_cell_length_a 5.3076
_cell_length_b 5.3076
_cell_length_c 22.7316
_cell_angle_alpha 90.00
_cell_angle_beta 90.00
_cell_angle_gamma 120.00
_symmetry_space_group_name_H-M 'R -3 m'
_symmetry_Int_Tables_number 166
_symmetry_space_group_name_Hall '-R 3 2"'
loop_
_atom_site_label
_atom_site_fract_x
_atom_site_fract_y
_atom_site_fract_z
_atom_site_occupancy
Sm1 0.0000 0.0000 0.2169 1
Mg1 0.0000 0.0000 0.0653 1
Sc1 0.0000 0.0000 0.3615 1
Sc2 0.0000 0.0000 0.5000 1
# D(E_F), states/eV/atom: 1.083
# E_tot, eV/atom: -4.46
# M_tot, Bohr magnetons per cell: 0.00

Entry 9:
# SmMgSc PBE relaxed
data_SmMgSc
_cell_length_a 3.5848
_cell_length_b 5.4362
_cell_length_c 8.5190
_cell_angle_alpha 90.00
_cell_angle_beta 102.14
_cell_angle_gamma 90.00
_symmetry_space_group_name_H-M 'P 1 21/m 1'
_symmetry_Int_Tables_number 11
loop_
_symmetry_equiv_pos_as_xyz
'x,y,z'
'-x,-y,-z'
'-x,y+1/2,-z'
'x,-y+1/2,z'
loop_
_atom_site_label
_atom_site_fract_x
_atom_site_fract_y
_atom_site_fract_z
_atom_site_occupancy
Sm1 0.0930 0.2500 0.1868 1
Mg1 0.4259 0.2500 0.8512 1
Sc1 0.2307 0.7500 0.4613 1
# Polymorph energy (0 for the lowest one), kcal/mol of atoms: 0.00
# D(E_F), states/eV/atom: 1.444
# E_tot, eV/atom: -4.24
# M_tot, Bohr magnetons per cell: 0.00

Entry 10:
# SmMg6Sc PBE relaxed
data_SmMg6Sc
_cell_length_a 4.6361
_cell_length_b 4.6361
_cell_length_c 9.1736
_cell_angle_alpha 90.00
_cell_angle_beta 90.00
_cell_angle_gamma 90.00
_symmetry_space_group_name_H-M 'P 4/m m m'
_symmetry_Int_Tables_number 123
_symmetry_space_group_name_Hall '-P 4 2'
loop_
_atom_site_label
_atom_site_fract_x
_atom_site_fract_y
_atom_site_fract_z
_atom_site_occupancy
Sm1 0.0000 0.0000 0.0000 1
Mg1 0.0000 0.5000 0.2602 1
Mg2 0.5000 0.5000 0.0000 1
Mg3 0.5000 0.5000 0.5000 1
Sc1 0.0000 0.0000 0.5000 1
# D(E_F), states/eV/atom: 0.882
# E_tot, eV/atom: -2.63
# M_tot, Bohr magnetons per cell: 0.00

Entry 11:
# Sm3MgSc2 PBE relaxed
data_Sm3MgSc2
_cell_length_a 16.6860
_cell_length_b 6.4082
_cell_length_c 6.6162
_cell_angle_alpha 90.00
_cell_angle_beta 94.16
_cell_angle_gamma 90.00
_symmetry_space_group_name_H-M 'C 1 2/c 1'
_symmetry_Int_Tables_number 15
loop_
_symmetry_equiv_pos_as_xyz
'x,y,z'
'-x,-y,-z'
'-x,y,-z+1/2'
'x,-y,z+1/2'
'x+1/2,y+1/2,z'
'-x+1/2,-y+1/2,-z'
'-x+1/2,y+1/2,-z+1/2'
'x+1/2,-y+1/2,z+1/2'
loop_
_atom_site_label
_atom_site_fract_x
_atom_site_fract_y
_atom_site_fract_z
_atom_site_occupancy
Sm1 0.0000 0.1868 0.2500 1
Sm2 0.1871 0.0738 0.6796 1
Mg1 0.0000 0.3096 0.7500 1
Sc1 0.1414 0.4540 0.0151 1
# Polymorph energy (0 for the lowest one), kcal/mol of atoms: 1.32
# D(E_F), states/eV/atom: 1.213
# E_tot, eV/atom: -4.67
# M_tot, Bohr magnetons per cell: 0.00

Entry 12:
# SmMg4Sc PBE relaxed
data_SmMg4Sc
_cell_length_a 8.9623
_cell_length_b 5.1738
_cell_length_c 6.4949
_cell_angle_alpha 90.00
_cell_angle_beta 90.31
_cell_angle_gamma 90.00
_symmetry_space_group_name_H-M 'C 1 2/m 1'
_symmetry_Int_Tables_number 12
loop_
_symmetry_equiv_pos_as_xyz
'x,y,z'
'-x,-y,-z'
'-x,y,-z'
'x,-y,z'
'x+1/2,y+1/2,z'
'-x+1/2,-y+1/2,-z'
'-x+1/2,y+1/2,-z'
'x+1/2,-y+1/2,z'
loop_
_atom_site_label
_atom_site_fract_x
_atom_site_fract_y
_atom_site_fract_z
_atom_site_occupancy
Sm1 0.0000 0.0000 0.0000 1
Mg1 0.1661 0.5000 0.7419 1
Mg2 0.1672 0.5000 0.2573 1
Sc1 0.0000 0.0000 0.5000 1
# Polymorph energy (0 for the lowest one), kcal/mol of atoms: 0.00
# D(E_F), states/eV/atom: 0.934
# E_tot, eV/atom: -2.95
# M_tot, Bohr magnetons per cell: 0.00

| no. | energy relative to the elements (eV/f.u.) |
| --- | --- |
| 1 | 0.80 |
| 2 | 0.07 |
| 3 | 0.24 |
| 4 | 4.53 |
| 5 | -0.41 |
| 6 | -0.02 |
| 7 | 1.21 |
| 8 | 0.40 |
| 9 | -0.08 |
| 10 | -0.42 |
| 11 | 0.41 |
| 12 | -0.28 |